# Ba2CrBr

Crystalline Ba2CrBr at its relaxed geometry (PBE, Alexandria).

a b c (Å): 4.7938 4.7938 14.0438
angles (deg): 90.00 90.00 90.00
Closest atoms and distances in Å follow each position.
Space group I-4m2 (No. 119)
Unique sites:
1 Ba 0.0000 0.0000 0.0000 [2 per cell]  4 Cr 3.39
2 Ba 0.0000 0.5000 0.2500 [2 per cell]  4 Br 3.39
3 Cr 0.0000 0.0000 0.5000 [2 per cell]  4 Ba 3.39
4 Br 0.0000 0.5000 0.7500 [2 per cell]  4 Ba 3.39

Properties
M_tot = 5.01 μB/f.u.

---

# Cr2CuTe4

Crystalline Cr2CuTe4 at its relaxed geometry (PBE, Alexandria).

a b c (Å): 11.2100 11.2100 11.2100
angles (deg): 90.00 90.00 90.00
Closest atoms and distances in Å follow each position.
Space group Fd-3m (No. 227, origin choice 2)
Unique sites:
1 Cr 0.0000 0.0000 0.0000 [16 per cell]  6 Te 2.72
2 Cu 0.1250 0.1250 0.6250 [8 per cell]  4 Te 2.57
3 Te 0.0072 0.0072 0.2428 [32 per cell]  1 Cu 2.57, 3 Cr 2.72

Properties
M_tot = 5.40 μB/f.u.

---

So what do the calculations give for raw formation energy? Going down the list: -0.142, -0.216 eV per atom.